1.
LaSnS2N: relaxed, GGA-PBE.

Geometry as CIF:
```
data_LaSnS2N
_symmetry_space_group_name_H-M 'P 4/m m m'
_symmetry_Int_Tables_number 123
_symmetry_space_group_name_Hall '-P 4 2'
_cell_length_a 5.5707
_cell_length_b 5.5707
_cell_length_c 4.3220
_cell_angle_alpha 90.00
_cell_angle_beta 90.00
_cell_angle_gamma 90.00
loop_
_atom_site_label
_atom_site_type_symbol
_atom_site_fract_x
_atom_site_fract_y
_atom_site_fract_z
La1 La 0.0000 0.0000 0.0000
Sn1 Sn 0.5000 0.5000 0.5000
S1 S 0.0000 0.5000 0.0000
N1 N 0.0000 0.0000 0.5000
```

Output
**V**: 134.1 Å³ per cell
**Formation energy from raw total energies**: -0.005 eV/atom
**Uncorrected energy**: -25.5 eV per formula unit
**Excess energy over the best structure of this formula in the dataset**: 500 meV per atom
**Mass density**: 4.16 g/cm³

2.
ScTaAl: relaxed, GGA-PBE.

Geometry as CIF:
```
data_ScTaAl
_symmetry_space_group_name_H-M 'P 4/n m m'
_symmetry_Int_Tables_number 129
_cell_length_a 4.0016
_cell_length_b 4.0016
_cell_length_c 7.5851
_cell_angle_alpha 90.00
_cell_angle_beta 90.00
_cell_angle_gamma 90.00
loop_
_symmetry_equiv_pos_as_xyz
'x,y,z'
'-x,-y,-z'
'-y+1/2,x,z'
'y+1/2,-x,-z'
'-x+1/2,-y+1/2,z'
'x+1/2,y+1/2,-z'
'y,-x+1/2,z'
'-y,x+1/2,-z'
'x+1/2,-y,-z'
'-x+1/2,y,z'
'-y,-x,-z'
'y,x,z'
'-x,y+1/2,-z'
'x,-y+1/2,z'
'y+1/2,x+1/2,-z'
'-y+1/2,-x+1/2,z'
loop_
_atom_site_label
_atom_site_type_symbol
_atom_site_fract_x
_atom_site_fract_y
_atom_site_fract_z
Sc1 Sc 0.2500 0.2500 0.1621
Ta1 Ta 0.2500 0.7500 0.5000
Al1 Al 0.2500 0.2500 0.7628
```

Output
**V**: 121.5 Å³ per cell
**Uncorrected energy**: -22.6 eV per formula unit
**Excess energy over the best structure of this formula in the dataset**: 0 meV per atom
**Mass density**: 6.91 g/cm³

What did the first record say?
LaSnS2N: relaxed, GGA-PBE.

Geometry as CIF:
```
data_LaSnS2N
_symmetry_space_group_name_H-M 'P 4/m m m'
_symmetry_Int_Tables_number 123
_symmetry_space_group_name_Hall '-P 4 2'
_cell_length_a 5.5707
_cell_length_b 5.5707
_cell_length_c 4.3220
_cell_angle_alpha 90.00
_cell_angle_beta 90.00
_cell_angle_gamma 90.00
loop_
_atom_site_label
_atom_site_type_symbol
_atom_site_fract_x
_atom_site_fract_y
_atom_site_fract_z
La1 La 0.0000 0.0000 0.0000
Sn1 Sn 0.5000 0.5000 0.5000
S1 S 0.0000 0.5000 0.0000
N1 N 0.0000 0.0000 0.5000
```

Output
**V**: 134.1 Å³ per cell
**Formation energy from raw total energies**: -0.005 eV/atom
**Uncorrected energy**: -25.5 eV per formula unit
**Excess energy over the best structure of this formula in the dataset**: 500 meV per atom
**Mass density**: 4.16 g/cm³

Number 2 is which compound?
ScTaAl